(1)
Zr2TlSe: optimized geometry, PBE-GGA.

Computed properties:
The space group is I-42d. Its uncorrected formation energy is 0.66 eV per formula unit. As for the theoretical density: 6.505 g/cm³.

Unit cell a=8.5690 b=8.5690 c=8.5690 alpha=141.90 beta=141.90 gamma=54.97
Fractional coordinates of all 8 atoms:
Zr 0.0773 0.6250 0.9523
Zr 0.3750 0.3273 0.4523
Zr 0.6727 0.1250 0.0477
Zr 0.8750 0.9227 0.5477
Tl 0.2500 0.7500 0.5000
Tl 0.5000 0.5000 0.0000
Se 0.0000 0.0000 0.0000
Se 0.7500 0.2500 0.5000


(2)
LaSe2F: optimized geometry, PBE-GGA.

Computed properties:
The space group is I-42d. Its uncorrected formation energy is -6.77 eV per formula unit. As for the theoretical density: 6.098 g/cm³.

Unit cell a=11.3725 b=11.3725 c=11.3725 alpha=160.00 beta=160.00 gamma=28.43
Fractional coordinates of all 8 atoms:
La 0.0000 0.0000 0.0000
La 0.7500 0.2500 0.5000
Se 0.1259 0.6250 0.0009
Se 0.3750 0.3759 0.5009
Se 0.6241 0.1250 0.9991
Se 0.8750 0.8741 0.4991
F 0.2500 0.7500 0.5000
F 0.5000 0.5000 0.0000


Number 1: energy above the lowest structure with this stoichiometry 0.746 eV per atom. Number 2: energy above the lowest structure with this stoichiometry 0.512 eV per atom.